# SrBi2BAu

A geometry-optimized SrBi2BAu structure (PBE, Alexandria).

Values from the calculation:
Energy, eV/atom: -3.80
Symmetry: P4/mmm, No. 123
ΔE_f, meV per atom: 81

Unit cell a=5.4935 b=4.2591 c=5.4935 alpha=90.00 beta=90.00 gamma=90.00
With the nearest neighbours (Å) after each atom.
Element x y z (fractional)
Bi (0.5000, 0.0000, 0.0000)  2 B 2.75
Bi (0.0000, 0.0000, 0.5000)  2 B 2.75
Au (0.0000, 0.5000, 0.0000)  2 B 2.13
Sr (0.5000, 0.5000, 0.5000)  8 Bi 3.48, 4 Au 3.88
B (0.0000, 0.0000, 0.0000)  2 Au 2.13

---

# ZnBi3B

A geometry-optimized ZnBi3B structure (PBE, Alexandria).

Values from the calculation:
Offset from the most stable computed form, eV per atom: 0.536
Energy, eV/atom: -2.57
Symmetry: Pm-3m, No. 221
ΔE_f, meV per atom: 1346

Unit cell a=5.3737 b=5.3737 c=5.3737 alpha=90.00 beta=90.00 gamma=90.00
With the nearest neighbours (Å) after each atom.
Element x y z (fractional)
B (0.5000, 0.5000, 0.5000)  12 Bi 3.80
Bi (0.0000, 0.0000, 0.5000)  2 Zn 2.69
Bi (0.5000, 0.0000, 0.0000)  2 Zn 2.69
Bi (0.0000, 0.5000, 0.0000)  2 Zn 2.69
Zn (0.0000, 0.0000, 0.0000)  6 Bi 2.69

---

# MgZrBe

A geometry-optimized MgZrBe structure (PBE, Alexandria).

Values from the calculation:
Offset from the most stable computed form, eV per atom: 0.886
Energy, eV/atom: -3.69
Symmetry: F-43m, No. 216
ΔE_f, meV per atom: 934

Unit cell a=4.4950 b=4.4950 c=4.4950 alpha=60.00 beta=60.00 gamma=60.00
With the nearest neighbours (Å) after each atom.
Element x y z (fractional)
Mg (0.5000, 0.5000, 0.5000)  4 Zr 2.75
Zr (0.7500, 0.7500, 0.7500)  4 Be 2.75, 4 Mg 2.75
Be (0.0000, 0.0000, 0.0000)  4 Zr 2.75

---

# Na2InRu2

A geometry-optimized Na2InRu2 structure (PBE, Alexandria).

Values from the calculation:
Offset from the most stable computed form, eV per atom: 0.297
Energy, eV/atom: -3.97
Symmetry: I4/mmm, No. 139
ΔE_f, meV per atom: 819

Unit cell a=3.7302 b=3.7302 c=7.6426 alpha=75.87 beta=75.87 gamma=90.00
With the nearest neighbours (Å) after each atom.
Element x y z (fractional)
In (0.0000, 0.0000, 0.0000)  8 Ru 2.90
Na (0.7500, 0.2500, 0.5000)  4 Na 2.64
Na (0.2500, 0.7500, 0.5000)  4 Na 2.64
Ru (0.4163, 0.4163, 0.1674)  1 Ru 2.40
Ru (0.5837, 0.5837, 0.8326)  1 Ru 2.40

---

# ZrGe2SI

A geometry-optimized ZrGe2SI structure (PBE, Alexandria).

Values from the calculation:
Formation energy (no corrections), meV per atom: 688.3
Energy, eV/atom: -4.00
Symmetry: P4/mmm, No. 123

Unit cell a=4.7953 b=5.2962 c=4.7953 alpha=90.00 beta=90.00 gamma=90.00
With the nearest neighbours (Å) after each atom.
Element x y z (fractional)
Zr (0.5000, 0.5000, 0.5000)  4 I 3.39, 8 Ge 3.57
Ge (0.0000, 0.0000, 0.5000)  2 S 2.40
Ge (0.5000, 0.0000, 0.0000)  2 S 2.40
S (0.0000, 0.0000, 0.0000)  4 Ge 2.40, 2 I 2.65
I (0.0000, 0.5000, 0.0000)  2 S 2.65

---

# Zr2AlPb

A geometry-optimized Zr2AlPb structure (PBE, Alexandria).

Values from the calculation:
Energy, eV/atom: -6.36
Symmetry: C2/m, No. 12
ΔE_f, meV per atom: -219

Unit cell a=6.9180 b=5.3719 c=3.1686 alpha=88.67 beta=65.04 gamma=121.29
With the nearest neighbours (Å) after each atom.
Element x y z (fractional)
Zr (0.0000, 0.0000, 0.0000)  4 Pb 3.09-3.15, 4 Al 3.09-3.15, 4 Zr 3.14-3.17
Zr (0.5000, 0.0000, 0.5000)  4 Al 3.09-3.15, 4 Pb 3.09-3.15, 4 Zr 3.14-3.17
Al (0.0000, 0.5000, 0.5000)  8 Zr 3.09-3.15, 2 Pb 3.14, 2 Al 3.17
Pb (0.5000, 0.5000, 0.0000)  8 Zr 3.09-3.15, 2 Al 3.14, 2 Pb 3.17

---

# KMnSb2

A geometry-optimized KMnSb2 structure (PBE, Alexandria).

Values from the calculation:
Offset from the most stable computed form, eV per atom: 0.409
Formation energy (no corrections), meV per atom: 254.5
Energy, eV/atom: -4.37
Symmetry: P4/mmm, No. 123

Unit cell a=4.8766 b=4.8820 c=4.4761 alpha=90.00 beta=90.00 gamma=90.00
With the nearest neighbours (Å) after each atom.
Element x y z (fractional)
Sb (0.5000, 0.5000, 0.0000)  4 Mn 3.31, 4 K 3.31, 4 Sb 3.45
Sb (0.0000, 0.0000, 0.0000)  4 K 3.31, 4 Mn 3.31, 4 Sb 3.45
Mn (0.0000, 0.5000, 0.5000)  8 Sb 3.31, 4 K 3.45
K (0.5000, 0.0000, 0.5000)  8 Sb 3.31, 4 Mn 3.45